An optimized crystal structure of SnHg2PtI, computed with PBE-GGA.

Unit cell a=5.3893 b=5.3893 c=5.1732 alpha=90.00 beta=90.00 gamma=90.00
Closest atoms and distances in Å follow each position.
Fractional coordinates of all 5 atoms:
Sn 0.0000 0.0000 0.0000  2 Pt 2.59
Hg 0.0000 0.5000 0.5000  2 Pt 2.69
Hg 0.5000 0.0000 0.5000  2 Pt 2.69
Pt 0.0000 0.0000 0.5000  2 Sn 2.59, 4 Hg 2.69
I 0.5000 0.5000 0.0000  8 Hg 3.74, 4 Sn 3.81

Summary:
- Space-group type: P4/mmm (123)
- E_form (uncorrected): -0.17 eV per atom
- Size of the total moment: 0.00 Bohr magnetons per cell
- Density of states at the Fermi level: 2.56 states/eV/f.u.

An optimized crystal structure of HoMg2Cd, computed with PBE-GGA.

Unit cell a=10.7027 b=10.7027 c=10.7027 alpha=17.80 beta=17.80 gamma=17.80
Closest atoms and distances in Å follow each position.
Fractional coordinates of all 4 atoms:
Ho 0.0000 0.0000 0.0000  6 Ho 3.31, 6 Mg 3.38-3.42
Mg 0.2452 0.2452 0.2452  3 Cd 3.11, 6 Mg 3.31, 3 Ho 3.38
Mg 0.4230 0.4230 0.4230  3 Cd 3.11, 6 Mg 3.31, 3 Ho 3.42
Cd 0.8341 0.8341 0.8341  6 Mg 3.11, 6 Cd 3.31

Summary:
- Space-group type: R3m (160)
- VASP energy: -2.18 eV/atom
- Size of the total moment: 0.00 Bohr magnetons per cell
- Density of states at the Fermi level: 3.12 states/eV/f.u.

An optimized crystal structure of TaHW3, computed with PBE-GGA.

Unit cell a=4.8087 b=4.8087 c=4.8087 alpha=90.00 beta=90.00 gamma=90.00
Closest atoms and distances in Å follow each position.
Fractional coordinates of all 5 atoms:
Ta 0.0000 0.0000 0.0000  6 W 2.40
H 0.5000 0.5000 0.5000  12 W 3.40
W 0.0000 0.0000 0.5000  2 Ta 2.40
W 0.0000 0.5000 0.0000  2 Ta 2.40
W 0.5000 0.0000 0.0000  2 Ta 2.40

Summary:
- Space-group type: Pm-3m (221)
- VASP energy: -7.75 eV/atom
- Size of the total moment: 0.06 Bohr magnetons per cell
- Density of states at the Fermi level: 4.27 states/eV/f.u.